GGA-PBE AlCrIn, relaxed; D(E_F) = 2.17 states/eV/f.u.; excess energy over the best structure of this formula in the dataset = 0.145 eV/atom; crystal system = cubic; formation energy = 0.37 eV per atom; SG = F-43m, No. 216; E = -4.994 eV per atom
1.0
0.000 3.137 3.137
3.137 0.000 3.137
3.137 3.137 0.000
Al Cr In
1 1 1
Direct
0.000 0.000 0.000
0.250 0.250 0.250
0.500 0.500 0.500

=====

GGA-PBE Si2AgRh, relaxed; D(E_F) = 2.32 states/eV/f.u.; excess energy over the best structure of this formula in the dataset = 0.403 eV/atom; crystal system = tetragonal; E_form (uncorrected) = 234 meV/atom; SG = I-42d, No. 122; E = -5.028 eV per atom
1.0
-2.970 2.970 4.688
2.970 -2.970 4.688
2.970 2.970 -4.688
Si Ag Rh
4 2 2
Direct
0.093 0.625 0.968
0.375 0.343 0.468
0.657 0.125 0.032
0.875 0.907 0.532
0.250 0.750 0.500
0.500 0.500 0.000
0.000 0.000 0.000
0.750 0.250 0.500

=====

GGA-PBE BaAlTc, relaxed; D(E_F) = 1.85 states/eV/f.u.; excess energy over the best structure of this formula in the dataset = 0.000 eV/atom; crystal system = tetragonal; formation energy = 0.24 eV per atom; SG = I4mm, No. 107; E = -5.108 eV per atom
1.0
-1.773 1.773 5.838
1.773 -1.773 5.838
1.773 1.773 -5.838
Ba Al Tc
1 1 1
Direct
0.000 0.000 0.000
0.267 0.267 0.000
0.725 0.725 0.000

=====

GGA-PBE TaTl2Rh, relaxed; D(E_F) = 3.87 states/eV/f.u.; excess energy over the best structure of this formula in the dataset = 0.508 eV/atom; crystal system = tetragonal; formation energy = 0.60 eV per atom; SG = I4/mmm, No. 139; E = -5.380 eV per atom
1.0
-2.172 2.172 4.197
2.172 -2.172 4.197
2.172 2.172 -4.197
Ta Tl Rh
1 2 1
Direct
0.000 0.000 0.000
0.250 0.750 0.500
0.750 0.250 0.500
0.500 0.500 0.000